[1]
## CaTbMgAg (PBE-GGA)

Data for a relaxed CaTbMgAg crystal.

Output
Polymorph energy (0 for the lowest one) = 0.0532 eV per atom
Symmetry = F-43m (216)
E = -11.63 eV/cell
ρ = 5.2 Mg/m³
DFT formation energy = -0.14 eV/atom

Lattice parameters (Å, degrees): 5.315 5.315 5.315 60.00 60.00 60.00
Element x y z (fractional)
Ca (0.250, 0.250, 0.250)
Tb (0.750, 0.750, 0.750)
Mg (0.000, 0.000, 0.000)
Ag (0.500, 0.500, 0.500)



[2]
## Dy6TlPb5 (PBE-GGA)

Data for a relaxed Dy6TlPb5 crystal.

Output
Symmetry = Cmmm (65)
E = -53.54 eV/cell
ρ = 11.0 Mg/m³
DFT formation energy = -0.42 eV/atom

Lattice parameters (Å, degrees): 5.005 8.874 7.961 90.00 71.68 90.00
Element x y z (fractional)
Pb (0.667, 0.500, 0.666)
Pb (0.336, 0.000, 0.328)
Pb (0.000, 0.500, 0.000)
Pb (0.664, 0.000, 0.672)
Pb (0.333, 0.500, 0.334)
Tl (0.000, 0.000, 0.000)
Dy (0.834, 0.753, 0.333)
Dy (0.834, 0.247, 0.333)
Dy (0.500, 0.248, 0.000)
Dy (0.500, 0.752, 0.000)
Dy (0.166, 0.753, 0.667)
Dy (0.166, 0.247, 0.667)



[3]
## TcNiIr4 (PBE-GGA)

Data for a relaxed TcNiIr4 crystal.

Output
Polymorph energy (0 for the lowest one) = 0.0000 eV per atom
Symmetry = Pmmm (47)
E = -51.82 eV/cell
ρ = 18.3 Mg/m³
DFT formation energy = -0.04 eV/atom

Lattice parameters (Å, degrees): 2.722 3.828 8.070 90.00 90.00 90.00
Element x y z (fractional)
Tc (0.500, 0.000, 0.500)
Ni (0.000, 0.500, 0.000)
Ir (0.000, 0.500, 0.331)
Ir (0.500, 0.000, 0.162)
Ir (0.000, 0.500, 0.669)
Ir (0.500, 0.000, 0.838)



[4]
## CaGdTe2 (PBE-GGA)

Data for a relaxed CaGdTe2 crystal.

Output
E_form (uncorrected) = -1.5050 eV/atom
Symmetry = R-3m (166)
E = -28.39 eV/cell
ρ = 6.0 Mg/m³

Lattice parameters (Å, degrees): 4.438 4.438 7.793 73.46 73.46 60.00
Site moments in Bohr magnetons follow the coordinates.
Element x y z (fractional)
Ca (0.500, 0.500, 0.500)  -0.01
Gd (0.000, 0.000, 0.000)  6.88
Te (0.250, 0.250, 0.249)  -0.02
Te (0.750, 0.750, 0.751)  -0.02



[5]
## Ti3AuC (PBE-GGA)

Data for a relaxed Ti3AuC crystal.

Output
Polymorph energy (0 for the lowest one) = 1.0833 eV per atom
Symmetry = Cmcm (63)
E = -67.75 eV/cell
ρ = 6.8 Mg/m³
DFT formation energy = 0.46 eV/atom

Lattice parameters (Å, degrees): 7.782 7.782 5.089 90.00 90.00 145.78
Element x y z (fractional)
C (0.445, 0.555, 0.250)
C (0.555, 0.445, 0.750)
Au (0.165, 0.835, 0.250)
Au (0.835, 0.165, 0.750)
Ti (0.081, 0.414, 0.250)
Ti (0.586, 0.919, 0.250)
Ti (0.414, 0.081, 0.750)
Ti (0.919, 0.586, 0.750)
Ti (0.000, 0.000, 0.000)
Ti (0.000, 0.000, 0.500)



[6]
## NaCd6Hg3 (PBE-GGA)

Data for a relaxed NaCd6Hg3 crystal.

Output
Polymorph energy (0 for the lowest one) = 0.0000 eV per atom
Symmetry = P2_1/m (11)
E = -16.00 eV/cell
ρ = 8.6 Mg/m³
DFT formation energy = -0.03 eV/atom

Lattice parameters (Å, degrees): 4.761 9.231 11.503 95.79 90.00 90.00
Element x y z (fractional)
Na (0.750, 0.976, 0.763)
Na (0.250, 0.024, 0.237)
Cd (0.750, 0.398, 0.582)
Cd (0.250, 0.602, 0.418)
Cd (0.750, 0.856, 0.056)
Cd (0.250, 0.144, 0.944)
Cd (0.750, 0.508, 0.082)
Cd (0.250, 0.492, 0.918)
Cd (0.750, 0.791, 0.322)
Cd (0.250, 0.209, 0.678)
Cd (0.750, 0.090, 0.454)
Cd (0.250, 0.910, 0.546)
Cd (0.750, 0.634, 0.811)
Cd (0.250, 0.366, 0.189)
Hg (0.750, 0.305, 0.830)
Hg (0.250, 0.695, 0.170)
Hg (0.750, 0.709, 0.571)
Hg (0.250, 0.291, 0.429)
Hg (0.750, 0.180, 0.110)
Hg (0.250, 0.820, 0.890)



[7]
## KCa2Se2O6 (PBE-GGA)

Data for a relaxed KCa2Se2O6 crystal.

Output
E_form (uncorrected) = -1.6832 eV/atom
Symmetry = P-1 (2)
E = -60.33 eV/cell
ρ = 3.0 Mg/m³

Lattice parameters (Å, degrees): 6.053 5.869 7.990 93.34 90.56 46.62
Site moments in Bohr magnetons follow the coordinates.
Element x y z (fractional)
K (0.500, 0.000, 0.500)  0.02
Ca (0.840, 0.354, 0.898)  0.01
Ca (0.160, 0.646, 0.102)  0.01
Se (0.149, 0.693, 0.696)  0.11
Se (0.851, 0.307, 0.304)  0.11
O (0.301, 0.777, 0.869)  0.06
O (0.941, 0.460, 0.170)  0.03
O (0.819, 0.082, 0.681)  0.02
O (0.059, 0.540, 0.830)  0.03
O (0.181, 0.918, 0.319)  0.02
O (0.699, 0.223, 0.131)  0.06



[8]
## Cu2Ni3Ge2 (PBE-GGA)

Data for a relaxed Cu2Ni3Ge2 crystal.

Output
Symmetry = R-3m (166)
E = -35.92 eV/cell
ρ = 8.5 Mg/m³
DFT formation energy = -0.16 eV/atom

Lattice parameters (Å, degrees): 4.019 4.019 6.678 90.01 107.51 120.00
Element x y z (fractional)
Cu (0.271, 0.136, 0.406)
Cu (0.729, 0.864, 0.594)
Ni (0.000, 0.000, 0.000)
Ni (0.542, 0.271, 0.812)
Ni (0.458, 0.729, 0.188)
Ge (0.810, 0.405, 0.214)
Ge (0.190, 0.595, 0.786)



[9]
## HfCF3 (PBE-GGA)

Data for a relaxed HfCF3 crystal.

Output
Polymorph energy (0 for the lowest one) = 0.0000 eV per atom
E_form (uncorrected) = -1.3554 eV/atom
Symmetry = Pm-3m (221)
E = -31.57 eV/cell
ρ = 5.9 Mg/m³

Lattice parameters (Å, degrees): 4.121 4.121 4.121 90.00 90.00 90.00
Site moments in Bohr magnetons follow the coordinates.
Element x y z (fractional)
C (0.500, 0.500, 0.500)  1.16
Hf (0.000, 0.000, 0.000)  0.20
F (0.000, 0.500, 0.000)  0.04
F (0.000, 0.000, 0.500)  0.06
F (0.500, 0.000, 0.000)  0.07



[10]
## YIr2Rh (PBE-GGA)

Data for a relaxed YIr2Rh crystal.

Output
Polymorph energy (0 for the lowest one) = 0.1703 eV per atom
Symmetry = C2/m (12)
E = -32.51 eV/cell
ρ = 14.1 Mg/m³
DFT formation energy = -0.24 eV/atom

Lattice parameters (Å, degrees): 4.967 4.967 4.967 79.88 79.88 34.24
Element x y z (fractional)
Ir (0.994, 0.994, 0.031)
Ir (0.506, 0.506, 0.469)
Rh (0.250, 0.250, 0.250)
Y (0.750, 0.750, 0.750)



[11]
## K3NaGe (PBE-GGA)

Data for a relaxed K3NaGe crystal.

Output
Polymorph energy (0 for the lowest one) = 0.0000 eV per atom
Symmetry = P2/c (13)
E = -36.49 eV/cell
ρ = 1.5 Mg/m³
DFT formation energy = 0.02 eV/atom

Lattice parameters (Å, degrees): 8.393 8.067 14.206 90.00 88.91 90.00
Element x y z (fractional)
K (0.487, 0.264, 0.381)
K (0.487, 0.736, 0.881)
K (0.285, 0.259, 0.835)
K (0.166, 0.894, 0.072)
K (0.285, 0.741, 0.335)
K (0.513, 0.736, 0.619)
K (0.834, 0.894, 0.428)
K (0.715, 0.259, 0.665)
K (0.834, 0.106, 0.928)
K (0.715, 0.741, 0.165)
K (0.513, 0.264, 0.119)
K (0.166, 0.106, 0.572)
Na (0.059, 0.396, 0.116)
Na (0.059, 0.604, 0.616)
Na (0.941, 0.396, 0.384)
Na (0.941, 0.604, 0.884)
Ge (0.136, 0.131, 0.279)
Ge (0.864, 0.131, 0.221)
Ge (0.136, 0.869, 0.779)
Ge (0.864, 0.869, 0.721)



[12]
## K12Ag3H5 (PBE-GGA)

Data for a relaxed K12Ag3H5 crystal.

Output
Symmetry = Ia-3d (230)
E = -152.58 eV/cell
ρ = 1.8 Mg/m³

Lattice parameters (Å, degrees): 15.685 15.685 15.685 109.47 109.47 109.47
Element x y z (fractional)
Ag (0.750, 0.375, 0.125)
Ag (0.875, 0.750, 0.125)
Ag (0.375, 0.750, 0.625)
Ag (0.250, 0.125, 0.375)
Ag (0.875, 0.125, 0.250)
Ag (0.375, 0.625, 0.250)
Ag (0.625, 0.375, 0.750)
Ag (0.125, 0.875, 0.750)
Ag (0.750, 0.875, 0.625)
Ag (0.625, 0.250, 0.375)
Ag (0.125, 0.250, 0.875)
Ag (0.250, 0.625, 0.875)
H (0.125, 0.375, 0.250)
H (0.000, 0.500, 0.000)
H (0.000, 0.000, 0.000)
H (0.375, 0.250, 0.125)
H (0.500, 0.000, 0.500)
H (0.500, 0.500, 0.000)
H (0.125, 0.750, 0.375)
H (0.750, 0.125, 0.875)
H (0.750, 0.625, 0.375)
H (0.375, 0.125, 0.750)
H (0.625, 0.875, 0.250)
H (0.500, 0.500, 0.500)
H (0.500, 0.000, 0.000)
H (0.000, 0.000, 0.500)
H (0.250, 0.375, 0.625)
H (0.250, 0.875, 0.125)
H (0.000, 0.500, 0.500)
H (0.875, 0.250, 0.625)
H (0.625, 0.750, 0.875)
H (0.875, 0.625, 0.750)
K (0.701, 0.120, 0.020)
K (0.318, 0.520, 0.400)
K (0.980, 0.380, 0.299)
K (0.520, 0.201, 0.120)
K (0.582, 0.701, 0.682)
K (0.980, 0.600, 0.182)
K (0.318, 0.799, 0.418)
K (0.100, 0.918, 0.120)
K (0.600, 0.980, 0.682)
K (0.701, 0.582, 0.182)
K (0.799, 0.480, 0.380)
K (0.818, 0.900, 0.020)
K (0.120, 0.701, 0.520)
K (0.380, 0.400, 0.082)
K (0.082, 0.900, 0.380)
K (0.418, 0.120, 0.600)
K (0.082, 0.182, 0.201)
K (0.480, 0.682, 0.100)
K (0.818, 0.918, 0.299)
K (0.120, 0.418, 0.100)
K (0.380, 0.980, 0.799)
K (0.600, 0.620, 0.418)
K (0.900, 0.818, 0.520)
K (0.799, 0.318, 0.918)
K (0.400, 0.380, 0.582)
K (0.100, 0.182, 0.480)
K (0.201, 0.682, 0.082)
K (0.182, 0.082, 0.701)
K (0.620, 0.020, 0.201)
K (0.880, 0.582, 0.900)
K (0.520, 0.318, 0.900)
K (0.582, 0.880, 0.400)
K (0.918, 0.818, 0.799)
K (0.918, 0.100, 0.620)
K (0.880, 0.299, 0.480)
K (0.182, 0.100, 0.980)
K (0.620, 0.600, 0.918)
K (0.400, 0.020, 0.318)
K (0.299, 0.418, 0.818)
K (0.201, 0.520, 0.620)
K (0.900, 0.082, 0.880)
K (0.682, 0.201, 0.582)
K (0.480, 0.799, 0.880)
K (0.020, 0.400, 0.818)
K (0.418, 0.299, 0.318)
K (0.020, 0.620, 0.701)
K (0.682, 0.480, 0.600)
K (0.299, 0.880, 0.980)